[1]
Crystalline ZrNiP2S at its relaxed geometry. Source: the Alexandria database, functional PBE.

Cell: 5.0255 5.0255 4.8857 Å, 90.00 90.00 90.00°
Fractional coordinates of all 5 atoms:
P: 0.0000 0.5000 0.0000
P: 0.5000 0.0000 0.0000
S: 0.0000 0.0000 0.5000
Ni: 0.5000 0.5000 0.5000
Zr: 0.0000 0.0000 0.0000

formation energy (no corrections): 319 kJ/mol of formula units
E above lowest polymorph: 644 meV/atom
VASP energy: -5.1948 eV/atom
spin magnetization: 0.939 Bohr magnetons per cell

=====

[2]
Crystalline ZrNiPS at its relaxed geometry. Source: the Alexandria database, functional PBE.

Cell: 3.7783 3.7783 8.4037 Å, 90.00 90.00 90.00°
Fractional coordinates of all 8 atoms:
Ni: 0.0000 0.0000 0.0000
Ni: 0.5000 0.5000 0.0000
S: 0.5000 0.5000 0.5000
S: 0.0000 0.0000 0.5000
Zr: 0.0000 0.5000 0.2737
Zr: 0.5000 0.0000 0.7263
P: 0.5000 0.0000 0.1564
P: 0.0000 0.5000 0.8436

formation energy (no corrections): -349 kJ/mol of formula units
VASP energy: -6.8706 eV/atom
spin magnetization: 0.000 Bohr magnetons per cell

=====

[3]
Crystalline ZrNiP2S at its relaxed geometry. Source: the Alexandria database, functional PBE.

Cell: 4.3147 4.3147 4.5860 Å, 90.00 90.00 90.00°
Fractional coordinates of all 5 atoms:
P: 0.0000 0.5000 0.0000
P: 0.5000 0.0000 0.0000
Zr: 0.5000 0.5000 0.5000
S: 0.0000 0.0000 0.5000
Ni: 0.0000 0.0000 0.0000

formation energy (no corrections): 8 kJ/mol of formula units
E above lowest polymorph: 0 meV/atom
VASP energy: -5.8393 eV/atom
spin magnetization: 0.000 Bohr magnetons per cell

=====

[4]
Crystalline ZrNiPS2 at its relaxed geometry. Source: the Alexandria database, functional PBE.

Cell: 4.4136 4.4136 4.3905 Å, 90.00 90.00 90.00°
Fractional coordinates of all 5 atoms:
S: 0.0000 0.5000 0.0000
S: 0.5000 0.0000 0.0000
Zr: 0.5000 0.5000 0.5000
P: 0.0000 0.0000 0.5000
Ni: 0.0000 0.0000 0.0000

formation energy (no corrections): -50 kJ/mol of formula units
E above lowest polymorph: 0 meV/atom
VASP energy: -5.7027 eV/atom
spin magnetization: 0.000 Bohr magnetons per cell

=====

[5]
Crystalline ZrNiPS2 at its relaxed geometry. Source: the Alexandria database, functional PBE.

Cell: 4.9220 4.9220 5.0886 Å, 90.00 90.00 90.00°
Fractional coordinates of all 5 atoms:
Ni: 0.5000 0.5000 0.5000
P: 0.0000 0.0000 0.5000
Zr: 0.0000 0.0000 0.0000
S: 0.0000 0.5000 0.0000
S: 0.5000 0.0000 0.0000

formation energy (no corrections): 177 kJ/mol of formula units
E above lowest polymorph: 471 meV/atom
VASP energy: -5.2312 eV/atom
spin magnetization: 1.651 Bohr magnetons per cell

=====

[6]
Crystalline NiSb2P2 at its relaxed geometry. Source: the Alexandria database, functional PBE.

Cell: 4.9788 4.9788 9.2196 Å, 90.00 90.00 90.00°
Fractional coordinates of all 10 atoms:
Sb: 0.5000 0.5000 0.5000
Sb: 0.0000 0.0000 0.5000
Sb: 0.5000 0.0000 0.8837
Sb: 0.0000 0.5000 0.1163
P: 0.5000 0.5000 0.0000
P: 0.0000 0.5000 0.6280
P: 0.0000 0.0000 0.0000
P: 0.5000 0.0000 0.3720
Ni: 0.5000 0.0000 0.6139
Ni: 0.0000 0.5000 0.3861

formation energy (no corrections): 136 kJ/mol of formula units
E above lowest polymorph: 0 meV/atom
VASP energy: -4.6876 eV/atom
spin magnetization: 0.000 Bohr magnetons per cell

=====

[7]
Crystalline NiSbP3 at its relaxed geometry. Source: the Alexandria database, functional PBE.

Cell: 4.4771 4.4771 4.4771 Å, 90.00 90.00 90.00°
Fractional coordinates of all 5 atoms:
P: 0.0000 0.0000 0.5000
P: 0.5000 0.0000 0.0000
P: 0.0000 0.5000 0.0000
Ni: 0.0000 0.0000 0.0000
Sb: 0.5000 0.5000 0.5000

formation energy (no corrections): 259 kJ/mol of formula units
E above lowest polymorph: 0 meV/atom
VASP energy: -4.6904 eV/atom
spin magnetization: 0.000 Bohr magnetons per cell

=====

[8]
Crystalline Ni3SbP at its relaxed geometry. Source: the Alexandria database, functional PBE.

Cell: 4.2553 4.2553 4.2553 Å, 90.00 90.00 90.00°
Fractional coordinates of all 5 atoms:
Sb: 0.5000 0.5000 0.5000
Ni: 0.0000 0.5000 0.0000
Ni: 0.5000 0.0000 0.0000
Ni: 0.0000 0.0000 0.5000
P: 0.0000 0.0000 0.0000

formation energy (no corrections): -12 kJ/mol of formula units
E above lowest polymorph: 0 meV/atom
VASP energy: -5.4003 eV/atom
spin magnetization: 0.000 Bohr magnetons per cell